Computed, not measured: crystalline Hf2GeI at its relaxed geometry at the GGA-PBE level of DFT.

```
Hf2GeI
1.0
5.5895 0.0000 0.0000
0.0000 5.5895 0.0000
2.7947 2.7947 7.6132
Hf Ge I
4 2 2
Direct
0.1976 0.6250 0.2500
0.5524 0.1250 0.2500
0.3750 0.4476 0.7500
0.8750 0.8024 0.7500
0.5000 0.5000 0.0000
0.2500 0.7500 0.5000
0.7500 0.2500 0.5000
0.0000 0.0000 0.0000
```

Results
calculated total energy: -48.37 eV/cell
formation energy (no corrections): 473 meV/atom
polymorph energy (0 for the lowest one): 537.7 meV per atom